Below is AcS2Br3O6 after structural relaxation, with properties calculated at the PBE level.

The structure in CIF format:
```
data_AcS2Br3O6
_chemical_formula_sum 'Ac1 S2 Br3 O6'
_cell_length_a 6.8817
_cell_length_b 6.8817
_cell_length_c 6.1781
_cell_angle_alpha 90.00
_cell_angle_beta 90.00
_cell_angle_gamma 120.00
_space_group_name_H-M_alt 'P -3 m 1'
_space_group_IT_number 164
_space_group_name_Hall '-P 3 2"'
loop_
_atom_site_label
_atom_site_fract_x
_atom_site_fract_y
_atom_site_fract_z
_atom_site_occupancy
Ac1 0.0000 0.0000 0.0000 1
S1 0.3333 0.6667 0.9488 1
Br1 0.0000 0.0000 0.5000 1
Br2 0.3333 0.6667 0.3112 1
O1 0.2151 0.4302 0.8848 1
```

Below is Li2CoWN4 after structural relaxation, with properties calculated at the PBE level.

The structure in CIF format:
```
data_Li2CoWN4
_chemical_formula_sum 'Li4 Co2 W2 N8'
_cell_length_a 6.3552
_cell_length_b 5.8145
_cell_length_c 5.1141
_cell_angle_alpha 90.00
_cell_angle_beta 90.00
_cell_angle_gamma 90.00
_space_group_name_H-M_alt 'P m n 21'
_space_group_IT_number 31
_space_group_name_Hall 'P 2ac -2'
loop_
_atom_site_label
_atom_site_fract_x
_atom_site_fract_y
_atom_site_fract_z
_atom_site_occupancy
Li1 0.2480 0.1605 0.0000 1
Co1 0.0000 0.6732 0.0000 1
W1 0.0000 0.3555 0.5095 1
N1 0.0000 0.3803 0.8777 1
N2 0.0000 0.6479 0.3553 1
N3 0.2469 0.1899 0.4209 1
```

Below is AcTb4Tm3 after structural relaxation, with properties calculated at the PBE level.

Summary:
**Formation energy**: 12 kJ/mol of atoms

The structure in CIF format:
```
data_AcTb4Tm3
_chemical_formula_sum 'Ac2 Tb8 Tm6'
_cell_length_a 12.1499
_cell_length_b 13.0195
_cell_length_c 3.5411
_cell_angle_alpha 90.00
_cell_angle_beta 106.86
_cell_angle_gamma 90.00
_space_group_name_H-M_alt 'C 1 2/m 1'
_space_group_IT_number 12
_space_group_name_Hall '-C 2y'
loop_
_atom_site_label
_atom_site_fract_x
_atom_site_fract_y
_atom_site_fract_z
_atom_site_occupancy
Ac1 0.0000 0.0000 0.0000 1
Tb1 0.2400 0.3624 0.2400 1
Tm1 0.0000 0.2636 0.5000 1
Tm2 0.0000 0.5000 0.0000 1
```

Below is LiTl5Se3 after structural relaxation, with properties calculated at the PBE level.

The structure in CIF format:
```
data_LiTl5Se3
_chemical_formula_sum 'Li4 Tl20 Se12'
_cell_length_a 13.7762
_cell_length_b 9.3225
_cell_length_c 10.4594
_cell_angle_alpha 90.00
_cell_angle_beta 109.95
_cell_angle_gamma 90.00
_space_group_name_H-M_alt 'C 1 2/m 1'
_space_group_IT_number 12
_space_group_name_Hall '-C 2y'
loop_
_atom_site_label
_atom_site_fract_x
_atom_site_fract_y
_atom_site_fract_z
_atom_site_occupancy
Li1 0.1965 0.0000 0.0283 1
Tl1 0.0000 0.3199 0.5000 1
Tl2 0.0413 0.5000 0.8232 1
Tl3 0.1025 0.2023 0.2330 1
Tl4 0.2309 0.0000 0.5935 1
Se1 0.0000 0.0000 0.0000 1
Se2 0.0000 0.0000 0.5000 1
Se3 0.1755 0.5000 0.0938 1
Se4 0.2211 0.5000 0.7021 1
```

Below is Zr2In2Sn after structural relaxation, with properties calculated at the PBE level.

Summary:
**Formation energy**: -20 kJ/mol of atoms

The structure in CIF format:
```
data_Zr2In2Sn
_chemical_formula_sum 'Zr4 In4 Sn2'
_cell_length_a 7.4785
_cell_length_b 7.4785
_cell_length_c 4.4226
_cell_angle_alpha 90.00
_cell_angle_beta 90.00
_cell_angle_gamma 90.00
_space_group_name_H-M_alt 'P 4/m b m'
_space_group_IT_number 127
_space_group_name_Hall '-P 4 2ab'
loop_
_atom_site_label
_atom_site_fract_x
_atom_site_fract_y
_atom_site_fract_z
_atom_site_occupancy
Zr1 0.1531 0.3469 0.0000 1
In1 0.1499 0.6499 0.5000 1
Sn1 0.0000 0.0000 0.0000 1
```

Below is Ca3TbSm2Se6 after structural relaxation, with properties calculated at the PBE level.

The structure in CIF format:
```
data_Ca3TbSm2Se6
_chemical_formula_sum 'Ca6 Tb2 Sm4 Se12'
_cell_length_a 7.1812
_cell_length_b 12.4245
_cell_length_c 7.3044
_cell_angle_alpha 90.00
_cell_angle_beta 109.16
_cell_angle_gamma 90.00
_space_group_name_H-M_alt 'C 1 2/m 1'
_space_group_IT_number 12
_space_group_name_Hall '-C 2y'
loop_
_atom_site_label
_atom_site_fract_x
_atom_site_fract_y
_atom_site_fract_z
_atom_site_occupancy
Ca1 0.0000 0.0000 0.0000 1
Ca2 0.0000 0.3321 0.0000 1
Tb1 0.0000 0.5000 0.5000 1
Sm1 0.0000 0.1661 0.5000 1
Se1 0.2451 0.5000 0.2487 1
Se2 0.2480 0.3354 0.7505 1
```

Below is KSr after structural relaxation, with properties calculated at the PBE level.

Summary:
**Formation energy**: 6 kJ/mol of atoms

The structure in CIF format:
```
data_KSr
_chemical_formula_sum 'K2 Sr2'
_cell_length_a 4.2829
_cell_length_b 4.2829
_cell_length_c 13.5646
_cell_angle_alpha 90.00
_cell_angle_beta 90.00
_cell_angle_gamma 90.00
_space_group_name_H-M_alt 'P 4/n m m'
_space_group_IT_number 129
loop_
_space_group_symop_operation_xyz
'x,y,z'
'-x,-y,-z'
'-y+1/2,x,z'
'y+1/2,-x,-z'
'-x+1/2,-y+1/2,z'
'x+1/2,y+1/2,-z'
'y,-x+1/2,z'
'-y,x+1/2,-z'
'x+1/2,-y,-z'
'-x+1/2,y,z'
'-y,-x,-z'
'y,x,z'
'-x,y+1/2,-z'
'x,-y+1/2,z'
'y+1/2,x+1/2,-z'
'-y+1/2,-x+1/2,z'
loop_
_atom_site_label
_atom_site_fract_x
_atom_site_fract_y
_atom_site_fract_z
_atom_site_occupancy
K1 0.2500 0.2500 0.1364 1
Sr1 0.2500 0.2500 0.6109 1
```

Below is LiCa2Hf after structural relaxation, with properties calculated at the PBE level.

Summary:
**Formation energy**: 53 kJ/mol of atoms

The structure in CIF format:
```
data_LiCa2Hf
_chemical_formula_sum 'Li4 Ca8 Hf4'
_cell_length_a 7.8039
_cell_length_b 7.8039
_cell_length_c 7.8039
_cell_angle_alpha 90.00
_cell_angle_beta 90.00
_cell_angle_gamma 90.00
_space_group_name_H-M_alt 'F m -3 m'
_space_group_IT_number 225
_space_group_name_Hall '-F 4 2 3'
loop_
_atom_site_label
_atom_site_fract_x
_atom_site_fract_y
_atom_site_fract_z
_atom_site_occupancy
Li1 0.0000 0.0000 0.0000 1
Ca1 0.2500 0.2500 0.2500 1
Hf1 0.0000 0.0000 0.5000 1
```

Below is Sc5Tl2Co2Hg after structural relaxation, with properties calculated at the PBE level.

Summary:
**Formation energy**: -29 kJ/mol of atoms

The structure in CIF format:
```
data_Sc5Tl2Co2Hg
_chemical_formula_sum 'Sc10 Tl4 Co4 Hg2'
_cell_length_a 11.1658
_cell_length_b 11.1658
_cell_length_c 3.3045
_cell_angle_alpha 90.00
_cell_angle_beta 90.00
_cell_angle_gamma 90.00
_space_group_name_H-M_alt 'P 4/m b m'
_space_group_IT_number 127
_space_group_name_Hall '-P 4 2ab'
loop_
_atom_site_label
_atom_site_fract_x
_atom_site_fract_y
_atom_site_fract_z
_atom_site_occupancy
Sc1 0.0000 0.5000 0.0000 1
Sc2 0.0759 0.2117 0.0000 1
Tl1 0.1723 0.6723 0.5000 1
Co1 0.1286 0.3714 0.5000 1
Hg1 0.0000 0.0000 0.5000 1
```

Below is KTbS2 after structural relaxation, with properties calculated at the PBE level.

The structure in CIF format:
```
data_KTbS2
_chemical_formula_sum 'K3 Tb3 S6'
_cell_length_a 4.0492
_cell_length_b 4.0492
_cell_length_c 22.5749
_cell_angle_alpha 90.00
_cell_angle_beta 90.00
_cell_angle_gamma 120.00
_space_group_name_H-M_alt 'R 3 m'
_space_group_IT_number 160
_space_group_name_Hall 'R 3 -2"'
loop_
_atom_site_label
_atom_site_fract_x
_atom_site_fract_y
_atom_site_fract_z
_atom_site_occupancy
K1 0.0000 0.0000 0.0000 1
Tb1 0.0000 0.0000 0.8304 1
S1 0.0000 0.0000 0.2306 1
S2 0.0000 0.0000 0.4301 1
```

Below is Cs2KTl12Au3 after structural relaxation, with properties calculated at the PBE level.

Summary:
**Formation energy**: 2 kJ/mol of atoms

The structure in CIF format:
```
data_Cs2KTl12Au3
_chemical_formula_sum 'Cs6 K3 Tl36 Au9'
_cell_length_a 8.2028
_cell_length_b 8.2028
_cell_length_c 34.6998
_cell_angle_alpha 90.00
_cell_angle_beta 90.00
_cell_angle_gamma 120.00
_space_group_name_H-M_alt 'R -3 m'
_space_group_IT_number 166
_space_group_name_Hall '-R 3 2"'
loop_
_atom_site_label
_atom_site_fract_x
_atom_site_fract_y
_atom_site_fract_z
_atom_site_occupancy
Cs1 0.0000 0.0000 0.1450 1
K1 0.0000 0.0000 0.5000 1
Tl1 0.0531 0.5266 0.0855 1
Tl2 0.0604 0.5302 0.6256 1
Au1 0.0000 0.5000 0.0000 1
```

Below is Tc3GeTe after structural relaxation, with properties calculated at the PBE level.

The structure in CIF format:
```
data_Tc3GeTe
_chemical_formula_sum 'Tc3 Ge1 Te1'
_cell_length_a 4.8619
_cell_length_b 4.8619
_cell_length_c 4.8619
_cell_angle_alpha 90.00
_cell_angle_beta 90.00
_cell_angle_gamma 90.00
_space_group_name_H-M_alt 'P m -3 m'
_space_group_IT_number 221
_space_group_name_Hall '-P 4 2 3'
loop_
_atom_site_label
_atom_site_fract_x
_atom_site_fract_y
_atom_site_fract_z
_atom_site_occupancy
Tc1 0.0000 0.0000 0.5000 1
Ge1 0.5000 0.5000 0.5000 1
Te1 0.0000 0.0000 0.0000 1
```

Below is LiEr3Pu2Te6 after structural relaxation, with properties calculated at the PBE level.

The structure in CIF format:
```
data_LiEr3Pu2Te6
_chemical_formula_sum 'Li2 Er6 Pu4 Te12'
_cell_length_a 19.0414
_cell_length_b 4.3410
_cell_length_c 8.7546
_cell_angle_alpha 90.00
_cell_angle_beta 103.79
_cell_angle_gamma 90.00
_space_group_name_H-M_alt 'C 1 2/m 1'
_space_group_IT_number 12
_space_group_name_Hall '-C 2y'
loop_
_atom_site_label
_atom_site_fract_x
_atom_site_fract_y
_atom_site_fract_z
_atom_site_occupancy
Li1 0.0000 0.0000 0.0000 1
Er1 0.0000 0.0000 0.5000 1
Er2 0.1695 0.5000 0.8312 1
Pu1 0.1660 0.5000 0.3313 1
Te1 0.0039 0.5000 0.7549 1
Te2 0.1632 0.0000 0.0727 1
Te3 0.1651 0.0000 0.5850 1
```

Below is SrIn4Cu2 after structural relaxation, with properties calculated at the PBE level.

Summary:
**Formation energy**: -18 kJ/mol of atoms

The structure in CIF format:
```
data_SrIn4Cu2
_chemical_formula_sum 'Sr4 In16 Cu8'
_cell_length_a 18.6400
_cell_length_b 4.6323
_cell_length_c 7.3833
_cell_angle_alpha 90.00
_cell_angle_beta 90.00
_cell_angle_gamma 90.00
_space_group_name_H-M_alt 'P n m a'
_space_group_IT_number 62
_space_group_name_Hall '-P 2ac 2n'
loop_
_atom_site_label
_atom_site_fract_x
_atom_site_fract_y
_atom_site_fract_z
_atom_site_occupancy
Sr1 0.1384 0.2500 0.0206 1
In1 0.0329 0.7500 0.8307 1
In2 0.0722 0.2500 0.5047 1
In3 0.1848 0.7500 0.3274 1
In4 0.1950 0.7500 0.7278 1
Cu1 0.0400 0.7500 0.2471 1
Cu2 0.2206 0.2500 0.5317 1
```

Below is SiMoRh after structural relaxation, with properties calculated at the PBE level.

The structure in CIF format:
```
data_SiMoRh
_chemical_formula_sum 'Si1 Mo1 Rh1'
_cell_length_a 4.2057
_cell_length_b 4.2057
_cell_length_c 2.7703
_cell_angle_alpha 90.00
_cell_angle_beta 90.00
_cell_angle_gamma 120.00
_space_group_name_H-M_alt 'P -6 m 2'
_space_group_IT_number 187
_space_group_name_Hall 'P -6 2'
loop_
_atom_site_label
_atom_site_fract_x
_atom_site_fract_y
_atom_site_fract_z
_atom_site_occupancy
Si1 0.0000 0.0000 0.0000 1
Mo1 0.3333 0.6667 0.5000 1
Rh1 0.6667 0.3333 0.0000 1
```

Below is LiAc2Ir after structural relaxation, with properties calculated at the PBE level.

Summary:
**Formation energy**: -24 kJ/mol of atoms

The structure in CIF format:
```
data_LiAc2Ir
_chemical_formula_sum 'Li3 Ac6 Ir3'
_cell_length_a 4.3157
_cell_length_b 4.3157
_cell_length_c 31.7236
_cell_angle_alpha 90.00
_cell_angle_beta 90.00
_cell_angle_gamma 120.00
_space_group_name_H-M_alt 'R -3 m'
_space_group_IT_number 166
_space_group_name_Hall '-R 3 2"'
loop_
_atom_site_label
_atom_site_fract_x
_atom_site_fract_y
_atom_site_fract_z
_atom_site_occupancy
Li1 0.0000 0.0000 0.0000 1
Ac1 0.0000 0.0000 0.1165 1
Ir1 0.0000 0.0000 0.5000 1
```

Below is MgZnGa6 after structural relaxation, with properties calculated at the PBE level.

Summary:
**Formation energy**: 0 kJ/mol of atoms

The structure in CIF format:
```
data_MgZnGa6
_chemical_formula_sum 'Mg2 Zn2 Ga12'
_cell_length_a 6.0797
_cell_length_b 6.5205
_cell_length_c 8.2795
_cell_angle_alpha 90.00
_cell_angle_beta 103.45
_cell_angle_gamma 90.00
_space_group_name_H-M_alt 'C 1 2/m 1'
_space_group_IT_number 12
_space_group_name_Hall '-C 2y'
loop_
_atom_site_label
_atom_site_fract_x
_atom_site_fract_y
_atom_site_fract_z
_atom_site_occupancy
Mg1 0.0000 0.0000 0.0000 1
Zn1 0.0000 0.0000 0.5000 1
Ga1 0.0055 0.5000 0.8498 1
Ga2 0.2307 0.2108 0.3231 1
```

Below is Zr2CdSb after structural relaxation, with properties calculated at the PBE level.

The structure in CIF format:
```
data_Zr2CdSb
_chemical_formula_sum 'Zr8 Cd4 Sb4'
_cell_length_a 7.1649
_cell_length_b 7.1649
_cell_length_c 7.1649
_cell_angle_alpha 90.00
_cell_angle_beta 90.00
_cell_angle_gamma 90.00
_space_group_name_H-M_alt 'F -4 3 m'
_space_group_IT_number 216
_space_group_name_Hall 'F -4 2 3'
loop_
_atom_site_label
_atom_site_fract_x
_atom_site_fract_y
_atom_site_fract_z
_atom_site_occupancy
Zr1 0.0000 0.0000 0.0000 1
Zr2 0.2500 0.2500 0.2500 1
Cd1 0.0000 0.0000 0.5000 1
Sb1 0.2500 0.2500 0.7500 1
```

Below is Cs2NdCd2S4 after structural relaxation, with properties calculated at the PBE level.

The structure in CIF format:
```
data_Cs2NdCd2S4
_chemical_formula_sum 'Cs4 Nd2 Cd4 S8'
_cell_length_a 16.7812
_cell_length_b 4.1581
_cell_length_c 8.5838
_cell_angle_alpha 90.00
_cell_angle_beta 112.54
_cell_angle_gamma 90.00
_space_group_name_H-M_alt 'C 1 2/m 1'
_space_group_IT_number 12
_space_group_name_Hall '-C 2y'
loop_
_atom_site_label
_atom_site_fract_x
_atom_site_fract_y
_atom_site_fract_z
_atom_site_occupancy
Cs1 0.1272 0.0000 0.0567 1
Nd1 0.0000 0.0000 0.5000 1
Cd1 0.1853 0.5000 0.5180 1
S1 0.0285 0.5000 0.2940 1
S2 0.1832 0.0000 0.7052 1
```

Below is KTc2Cl after structural relaxation, with properties calculated at the PBE level.

The structure in CIF format:
```
data_KTc2Cl
_chemical_formula_sum 'K1 Tc2 Cl1'
_cell_length_a 3.6674
_cell_length_b 3.6674
_cell_length_c 7.9515
_cell_angle_alpha 90.00
_cell_angle_beta 90.00
_cell_angle_gamma 90.00
_space_group_name_H-M_alt 'P 4/m m m'
_space_group_IT_number 123
_space_group_name_Hall '-P 4 2'
loop_
_atom_site_label
_atom_site_fract_x
_atom_site_fract_y
_atom_site_fract_z
_atom_site_occupancy
K1 0.0000 0.0000 0.0000 1
Tc1 0.0000 0.5000 0.5000 1
Cl1 0.5000 0.5000 0.0000 1
```

no.,uncorrected energy (eV per atom)
1,-5.4288
2,-7.3420
3,-4.3820
4,-3.0697
5,-5.5188
6,-5.3087
7,-1.3312
8,-3.4206
9,-5.3902
10,-5.3571
11,-2.2556
12,-5.9858
13,-6.4676
14,-3.1616
15,-8.2723
16,-5.0015
17,-2.6254
18,-5.3578
19,-3.8856
20,-5.1901